Ce2Be4TcGe3 | PBE-GGA | optimized geometry Values from VASP.

Quantum ESPRESSO input file:
```
&SYSTEM
  ibrav = 0, nat = 10, ntyp = 4
/
ATOMIC_SPECIES
Ce 140.12 Ce.upf
Be 9.01 Be.upf
Tc 98.00 Tc.upf
Ge 72.64 Ge.upf
CELL_PARAMETERS angstrom
3.9771 0.0000 0.0000
0.0000 3.9771 0.0000
0.0000 0.0000 9.8451
ATOMIC_POSITIONS angstrom
Ce 1.9886 0.0000 2.4757
Ce 0.0000 1.9886 7.3694
Be 1.9886 1.9886 0.0000
Be 0.0000 0.0000 0.0000
Be 1.9886 0.0000 6.1981
Be 0.0000 1.9886 3.6469
Tc 1.9886 1.9886 4.9225
Ge 0.0000 0.0000 4.9225
Ge 1.9886 0.0000 8.5635
Ge 0.0000 1.9886 1.2816
```

Output
final energy	-54.33	eV/cell
ΔE_f	-334	meV per atom

***

CeBeTcGe2 | PBE-GGA | optimized geometry Values from VASP.

Quantum ESPRESSO input file:
```
&SYSTEM
  ibrav = 0, nat = 5, ntyp = 4
/
ATOMIC_SPECIES
Ce 140.12 Ce.upf
Be 9.01 Be.upf
Tc 98.00 Tc.upf
Ge 72.64 Ge.upf
CELL_PARAMETERS angstrom
-1.7051 2.2653 -2.7926
-3.2439 -2.3026 0.1128
0.3147 3.2545 5.2834
ATOMIC_POSITIONS angstrom
Ce 0.0000 0.0000 0.0000
Be -2.7018 0.4666 2.0281
Tc -1.9324 2.7505 0.5754
Ge -2.9934 0.7587 -0.3925
Ge -1.6409 2.4584 2.9960
```

Output
final energy	-30.85	eV/cell
ΔE_f	-319	meV per atom

***

CeBe2TcGe2 | PBE-GGA | optimized geometry Values from VASP.

Quantum ESPRESSO input file:
```
&SYSTEM
  ibrav = 0, nat = 6, ntyp = 4
/
ATOMIC_SPECIES
Ce 140.12 Ce.upf
Be 9.01 Be.upf
Tc 98.00 Tc.upf
Ge 72.64 Ge.upf
CELL_PARAMETERS angstrom
4.0034 0.0000 0.0000
-2.0017 3.4671 0.0000
0.0000 0.0000 6.7189
ATOMIC_POSITIONS angstrom
Ce 0.0000 0.0000 0.0000
Be 2.0017 1.1557 4.3696
Be 0.0000 2.3114 2.3492
Tc 0.0000 0.0000 3.3594
Ge 2.0017 1.1557 1.8911
Ge 0.0000 2.3114 4.8278
```

Output
final energy	-34.87	eV/cell
ΔE_f	-314	meV per atom